VASP calculation (PBEsol) on a relaxed NaTiPO5 crystal.

POSCAR file:
```
NaTiPO5
1.0
12.613 0.000 0.000
0.000 6.280 0.000
0.000 0.000 10.568
Na Ti P O
8 8 8 40
direct
0.101 0.244 0.000
0.160 0.701 0.702
0.340 0.201 0.202
0.399 0.744 0.500
0.601 0.256 0.000
0.660 0.799 0.702
0.840 0.299 0.202
0.899 0.756 0.500
0.130 0.976 0.432
0.228 0.715 0.167
0.272 0.215 0.667
0.370 0.476 0.932
0.630 0.524 0.432
0.728 0.785 0.167
0.772 0.285 0.667
0.870 0.024 0.932
0.018 0.157 0.696
0.183 0.472 0.433
0.317 0.972 0.933
0.482 0.657 0.196
0.518 0.343 0.696
0.683 0.028 0.433
0.817 0.528 0.933
0.982 0.843 0.196
0.005 0.068 0.832
0.027 0.972 0.602
0.076 0.695 0.161
0.109 0.280 0.423
0.116 0.666 0.471
0.119 0.298 0.696
0.210 0.943 0.298
0.230 0.945 0.036
0.241 0.503 0.305
0.242 0.005 0.554
0.258 0.505 0.054
0.259 0.003 0.805
0.270 0.445 0.536
0.290 0.443 0.798
0.381 0.798 0.196
0.384 0.166 0.971
0.391 0.780 0.923
0.424 0.195 0.661
0.473 0.472 0.102
0.495 0.568 0.332
0.505 0.432 0.832
0.527 0.528 0.602
0.576 0.805 0.161
0.609 0.220 0.423
0.616 0.834 0.471
0.619 0.202 0.696
0.710 0.557 0.298
0.730 0.555 0.036
0.741 0.997 0.305
0.742 0.495 0.554
0.758 0.995 0.054
0.759 0.497 0.805
0.770 0.055 0.536
0.790 0.057 0.798
0.881 0.702 0.196
0.884 0.334 0.971
0.891 0.720 0.923
0.924 0.305 0.661
0.973 0.028 0.102
0.995 0.932 0.332
```

Results
calculated total energy	-7.8013	eV per atom
magnetization	0.00	μB per cell
calculated density	2.89	g/cm³
formation energy from raw total energies	-2.58	eV per atom
DOS at the Fermi energy	0.00	states/eV per atom
energy above the most stable polymorph in this dataset	0.009	eV per atom